1.
First-principles (PBE) data for Li2LaCdHg4 after structural relaxation, as listed in Alexandria via LeMat-Bulk.

The structure in POSCAR format:
```
Li2LaCdHg4
1.0
-0.705 -2.909 -3.717
3.088 -0.014 -3.639
5.876 -7.749 1.886
Cd La Hg Li
1 1 4 2
Cartesian
4.130 -5.336 -2.735 Cd
0.000 0.000 0.000 La
4.051 -5.316 0.328 Hg
4.208 -5.356 -5.798 Hg
2.487 -3.146 -4.137 Hg
5.772 -7.526 -1.333 Hg
2.377 -3.084 -1.101 Li
5.883 -7.588 -4.369 Li
```

Output
Calculated formation energy ... -0.338 eV per atom
E_tot ... -13.58 eV/cell
Density ... 9.4 g cm⁻³

***

2.
First-principles (PBE) data for Li2LaCd2Hg after structural relaxation, as listed in Alexandria via LeMat-Bulk.

The structure in POSCAR format:
```
Li2LaCd2Hg
1.0
4.884 0.000 0.000
0.000 4.884 0.000
0.000 0.000 6.248
Cd Li Hg La
2 2 1 1
Cartesian
2.442 2.442 4.597 Cd
2.442 2.442 1.651 Cd
2.442 0.000 0.000 Li
0.000 2.442 0.000 Li
0.000 0.000 0.000 Hg
0.000 0.000 3.124 La
```

Output
Calculated formation energy ... -0.161 eV per atom
E_tot ... -11.86 eV/cell
Density ... 6.4 g cm⁻³

***

3.
First-principles (PBE) data for LiLaCd2Hg4 after structural relaxation, as listed in Alexandria via LeMat-Bulk.

The structure in POSCAR format:
```
LiLaCd2Hg4
1.0
-1.043 -4.795 0.796
-1.210 -2.947 -3.816
7.808 -4.630 -2.139
La Hg Li Cd
1 4 1 2
Cartesian
0.000 0.000 0.000 La
1.134 -8.553 -3.467 Hg
5.655 -6.875 -2.960 Hg
4.422 -3.819 -1.691 Hg
-0.100 -5.497 -2.198 Hg
2.778 -6.186 -2.579 Li
1.487 -3.116 -1.303 Cd
4.068 -9.255 -3.856 Cd
```

Output
Calculated formation energy ... -0.312 eV per atom
E_tot ... -12.38 eV/cell
Density ... 10.3 g cm⁻³

***

4.
First-principles (PBE) data for LiLa2CdHg6 after structural relaxation, as listed in Alexandria via LeMat-Bulk.

The structure in POSCAR format:
```
LiLa2CdHg6
1.0
7.469 -0.006 0.007
0.022 7.010 -0.306
3.679 3.289 4.980
La Hg Cd Li
2 6 1 1
Cartesian
3.706 7.507 2.718 La
7.464 2.787 1.964 La
9.304 5.244 3.990 Hg
8.558 9.085 4.588 Hg
1.866 5.050 0.691 Hg
4.491 3.883 2.287 Hg
2.612 1.208 0.094 Hg
6.679 6.411 2.394 Hg
0.000 0.000 0.000 Cd
3.746 3.502 -0.149 Li
```

Output
Calculated formation energy ... -0.244 eV per atom
E_tot ... -16.94 eV/cell
Density ... 9.9 g cm⁻³